K2Li2Hg, optimized geometry, DFT PBE; SG = I4/mmm, No. 139; spin magnetization = 0.0 μB per formula unit; polymorph energy (0 for the lowest one) = 0.175 eV/f.u.; formation energy from the elements = 0.05 eV/f.u.; theoretical density = 2.61 g/cm³
1.0
-2.0593 2.0593 10.9607
2.0593 -2.0593 10.9607
2.0593 2.0593 -10.9607
K Li Hg
2 2 1
Cartesian
0.0000 0.0000 2.2385
0.0000 0.0000 19.6828
2.0593 0.0000 5.4803
0.0000 2.0593 5.4803
0.0000 0.0000 10.9607